# GGA-PBE Te2AuCN, relaxed
data_Te2AuCN
_chemical_formula_sum 'Te2 Au1 C1 N1'
_cell_length_a 6.276
_cell_length_b 6.276
_cell_length_c 2.639
_cell_angle_alpha 90.00
_cell_angle_beta 90.00
_cell_angle_gamma 90.00
_symmetry_space_group_name_H-M 'P 1'
_symmetry_Int_Tables_number 1
loop_
_symmetry_equiv_pos_as_xyz
'x,y,z'
loop_
_atom_site_label
_atom_site_type_symbol
_atom_site_fract_x
_atom_site_fract_y
_atom_site_fract_z
_atom_site_occupancy
Te1 Te 0.000 0.500 0.000 1
Te2 Te 0.500 0.000 0.000 1
Au1 Au 0.000 0.000 0.500 1
C1 C 0.500 0.500 0.000 1
N1 N 0.500 0.500 0.500 1
# Relative energy among the computed polymorphs, kJ per mole of atoms: 0.0
# Calculated volume, Å³ per cell: 104
# Theoretical density, g/cm³: 7.640
# Formation energy from raw total energies, kJ per mole of atoms: 87.1